i.
Compound: Tb7Cd2Ru2
Source: the Alexandria database
Functional: PBE-GGA
Structure: optimized geometry

It has space group Imm2 (No. 44), with a = 3.7837 Å, b = 16.6498 Å, c = 9.5084 Å, α = 90.00°, β = 90.00° and γ = 90.00°. The inequivalent atoms are Tb at (0.0000, 0.0000, 0.0000), Tb at (0.0000, 0.1358, 0.5695), Tb at (0.0000, 0.3178, 0.3754), Tb at (0.0000, 0.3489, 0.7345), Cd at (0.0000, 0.0000, 0.3336), Cd at (0.0000, 0.5000, 0.2264) and Ru at (0.0000, 0.2426, 0.0770).

The value obtained for the density of states at the Fermi level is 1.17 states/eV/atom.



ii.
Compound: Tb7Cd2Ru2
Source: the Alexandria database
Functional: PBE-GGA
Structure: optimized geometry

It has space group Cmmm (No. 65), with a = 7.9578 Å, b = 10.9606 Å, c = 7.2004 Å, α = 90.00°, β = 90.00° and γ = 90.00°. The inequivalent atoms are Tb at (0.0000, 0.0000, 0.0000), Tb at (0.0000, 0.5000, 0.2404), Tb at (0.2500, 0.2500, 0.2512), Cd at (0.1761, 0.0000, 0.5000) and Ru at (0.0000, 0.2940, 0.0000).

The value obtained for the density of states at the Fermi level is 0.90 states/eV/atom.



i (69 meV per atom below the next structure)



i.
Compound: Tb6CdRu2
Source: the Alexandria database
Functional: PBE-GGA
Structure: optimized geometry

It has space group C2/m (No. 12), with a = 10.1022 Å, b = 5.0754 Å, c = 9.3047 Å, α = 90.00°, β = 101.40° and γ = 90.00°. The inequivalent atoms are Tb at (0.0367, 0.0000, 0.3422), Tb at (0.1611, 0.5000, 0.8837), Tb at (0.2156, 0.5000, 0.3406), Cd at (0.0000, 0.0000, 0.0000) and Ru at (0.1120, 0.5000, 0.5975).

The value obtained for the density of states at the Fermi level is 0.96 states/eV/atom.



ii.
Compound: Tb6CdRu2
Source: the Alexandria database
Functional: PBE-GGA
Structure: optimized geometry

It has space group Immm (No. 71), with a = 9.3994 Å, b = 9.5352 Å, c = 10.5083 Å, α = 90.00°, β = 90.00° and γ = 90.00°. The inequivalent atoms are Tb at (0.0000, 0.2026, 0.2401), Tb at (0.1867, 0.5000, 0.1718), Tb at (0.2147, 0.3171, 0.5000), Cd at (0.0000, 0.0000, 0.0000), Cd at (0.0000, 0.0000, 0.5000), Ru at (0.0000, 0.3230, 0.0000) and Ru at (0.0000, 0.5000, 0.3737).

The value obtained for the density of states at the Fermi level is 0.96 states/eV/atom.



ii (107 meV per atom below the next structure)



i.
Compound: TbYCdRu
Source: the Alexandria database
Functional: PBE-GGA
Structure: optimized geometry

It has space group F-43m (No. 216), with a = 7.1402 Å, b = 7.1402 Å, c = 7.1402 Å, α = 90.00°, β = 90.00° and γ = 90.00°. The inequivalent atoms are Tb at (0.0000, 0.0000, 0.0000), Y at (0.0000, 0.0000, 0.5000), Cd at (0.2500, 0.2500, 0.7500) and Ru at (0.2500, 0.2500, 0.2500).

The value obtained for the density of states at the Fermi level is 0.96 states/eV/atom.



ii.
Compound: TbYCdRu
Source: the Alexandria database
Functional: PBE-GGA
Structure: optimized geometry

It has space group P4mm (No. 99), with a = 3.4809 Å, b = 3.4809 Å, c = 7.6807 Å, α = 90.00°, β = 90.00° and γ = 90.00°. The inequivalent atoms are Tb at (0.0000, 0.0000, 0.0000), Y at (0.0000, 0.0000, 0.5680), Cd at (0.5000, 0.5000, 0.2858) and Ru at (0.5000, 0.5000, 0.7855).

The value obtained for the density of states at the Fermi level is 0.89 states/eV/atom.



ii (105 meV per atom below the next structure)



i.
Compound: CdTcRu
Source: the Alexandria database
Functional: PBE-GGA
Structure: optimized geometry

It has space group F-43m (No. 216), with a = 6.0679 Å, b = 6.0679 Å, c = 6.0679 Å, α = 90.00°, β = 90.00° and γ = 90.00°. The inequivalent atoms are Cd at (0.0000, 0.0000, 0.0000), Tc at (0.0000, 0.0000, 0.5000) and Ru at (0.2500, 0.2500, 0.2500).

The value obtained for the density of states at the Fermi level is 1.59 states/eV/atom.



ii.
Compound: CdTcRu
Source: the Alexandria database
Functional: PBE-GGA
Structure: optimized geometry

It has space group P4/nmm (No. 129, origin choice 2), with a = 2.8388 Å, b = 2.8388 Å, c = 12.1402 Å, α = 90.00°, β = 90.00° and γ = 90.00°. The inequivalent atoms are Cd at (0.2500, 0.2500, 0.1043), Tc at (0.2500, 0.2500, 0.4170) and Ru at (0.2500, 0.2500, 0.7202).

The value obtained for the density of states at the Fermi level is 0.82 states/eV/atom.



iii.
Compound: CdTcRu
Source: the Alexandria database
Functional: PBE-GGA
Structure: optimized geometry

It has space group I4mm (No. 107), with a = 2.8705 Å, b = 2.8705 Å, c = 11.8677 Å, α = 90.00°, β = 90.00° and γ = 90.00°. The inequivalent atoms are Cd at (0.0000, 0.0000, 0.0000), Tc at (0.0000, 0.0000, 0.3137) and Ru at (0.0000, 0.0000, 0.6826).

The value obtained for the density of states at the Fermi level is 1.00 states/eV/atom.



ii (64 meV per atom below the next structure)



i.
Compound: CdTcRu
Source: the Alexandria database
Functional: PBE-GGA
Structure: optimized geometry

It has space group Fmm2 (No. 42), with a = 2.9105 Å, b = 4.7138 Å, c = 14.2918 Å, α = 90.00°, β = 90.00° and γ = 90.00°. The inequivalent atoms are Cd at (0.0000, 0.0000, 0.0000), Tc at (0.0000, 0.0000, 0.6792) and Ru at (0.0000, 0.0000, 0.3245).

The value obtained for the density of states at the Fermi level is 1.06 states/eV/atom.



ii.
Compound: CdTcRu
Source: the Alexandria database
Functional: PBE-GGA
Structure: optimized geometry

It has space group P3m1 (No. 156), with a = 2.8190 Å, b = 2.8190 Å, c = 7.0231 Å, α = 90.00°, β = 90.00° and γ = 120.00°. The inequivalent atoms are Cd at (0.0000, 0.0000, 0.0000), Tc at (0.3333, 0.6667, 0.6392) and Ru at (0.6667, 0.3333, 0.3553).

The value obtained for the density of states at the Fermi level is 0.96 states/eV/atom.



iii.
Compound: CdTcRu
Source: the Alexandria database
Functional: PBE-GGA
Structure: optimized geometry

It has space group Imm2 (No. 44), with a = 2.8615 Å, b = 3.6845 Å, c = 9.2497 Å, α = 90.00°, β = 90.00° and γ = 90.00°. The inequivalent atoms are Cd at (0.0000, 0.0000, 0.0000), Tc at (0.0000, 0.0000, 0.3115) and Ru at (0.0000, 0.0000, 0.6859).

The value obtained for the density of states at the Fermi level is 0.53 states/eV/atom.



ii (98 meV per atom below the next structure)



i.
Compound: Cd2TcRu
Source: the Alexandria database
Functional: PBE-GGA
Structure: optimized geometry

It has space group Cm (No. 8), with a = 9.1225 Å, b = 2.8936 Å, c = 5.2289 Å, α = 90.00°, β = 98.32° and γ = 90.00°. The inequivalent atoms are Cd at (0.0000, 0.0000, 0.0000), Cd at (0.2430, 0.0000, 0.7609), Tc at (0.2536, 0.5000, 0.2939) and Ru at (0.4921, 0.0000, 0.4655).

The value obtained for the density of states at the Fermi level is 0.90 states/eV/atom.



ii.
Compound: Cd2TcRu
Source: the Alexandria database
Functional: PBE-GGA
Structure: optimized geometry

It has space group Fm-3m (No. 225), with a = 6.5280 Å, b = 6.5280 Å, c = 6.5280 Å, α = 90.00°, β = 90.00° and γ = 90.00°. The inequivalent atoms are Cd at (0.2500, 0.2500, 0.2500), Tc at (0.0000, 0.0000, 0.0000) and Ru at (0.0000, 0.0000, 0.5000).

The value obtained for the density of states at the Fermi level is 0.98 states/eV/atom.



i (284 meV per atom below the next structure)



i.
Compound: Cd2TcRu
Source: the Alexandria database
Functional: PBE-GGA
Structure: optimized geometry

It has space group Immm (No. 71), with a = 2.9956 Å, b = 4.7031 Å, c = 9.6644 Å, α = 90.00°, β = 90.00° and γ = 90.00°. The inequivalent atoms are Cd at (0.0000, 0.0000, 0.2457), Tc at (0.0000, 0.5000, 0.0000) and Ru at (0.0000, 0.5000, 0.5000).

The value obtained for the density of states at the Fermi level is 1.10 states/eV/atom.



ii.
Compound: Cd2TcRu
Source: the Alexandria database
Functional: PBE-GGA
Structure: optimized geometry

It has space group P4mm (No. 99), with a = 2.9131 Å, b = 2.9131 Å, c = 8.2499 Å, α = 90.00°, β = 90.00° and γ = 90.00°. The inequivalent atoms are Cd at (0.0000, 0.0000, 0.0000), Cd at (0.5000, 0.5000, 0.3005), Tc at (0.0000, 0.0000, 0.5598) and Ru at (0.5000, 0.5000, 0.7451).

The value obtained for the density of states at the Fermi level is 0.74 states/eV/atom.



ii (427 meV per atom below the next structure)



i.
Compound: Cd2TcRu
Source: the Alexandria database
Functional: PBE-GGA
Structure: optimized geometry

It has space group Pmmm (No. 47), with a = 3.0205 Å, b = 4.6714 Å, c = 4.8242 Å, α = 90.00°, β = 90.00° and γ = 90.00°. The inequivalent atoms are Cd at (0.0000, 0.0000, 0.0000), Cd at (0.5000, 0.5000, 0.0000), Tc at (0.0000, 0.5000, 0.5000) and Ru at (0.5000, 0.0000, 0.5000).

The value obtained for the density of states at the Fermi level is 1.11 states/eV/atom.



ii.
Compound: Cd2TcRu
Source: the Alexandria database
Functional: PBE-GGA
Structure: optimized geometry

It has space group I-4m2 (No. 119), with a = 4.2934 Å, b = 4.2934 Å, c = 7.3142 Å, α = 90.00°, β = 90.00° and γ = 90.00°. The inequivalent atoms are Cd at (0.0000, 0.0000, 0.0000), Cd at (0.0000, 0.5000, 0.2500), Tc at (0.0000, 0.0000, 0.5000) and Ru at (0.0000, 0.5000, 0.7500).

The value obtained for the density of states at the Fermi level is 0.90 states/eV/atom.



iii.
Compound: Cd2TcRu
Source: the Alexandria database
Functional: PBE-GGA
Structure: optimized geometry

It has space group I-42d (No. 122), with a = 7.5772 Å, b = 7.5772 Å, c = 5.2694 Å, α = 90.00°, β = 90.00° and γ = 90.00°. The inequivalent atoms are Cd at (0.2442, 0.7500, 0.1250), Tc at (0.0000, 0.0000, 0.5000) and Ru at (0.0000, 0.0000, 0.0000).

The value obtained for the density of states at the Fermi level is 1.18 states/eV/atom.



iv.
Compound: Cd2TcRu
Source: the Alexandria database
Functional: PBE-GGA
Structure: optimized geometry

It has space group C2/m (No. 12), with a = 9.6788 Å, b = 2.8527 Å, c = 4.9679 Å, α = 90.00°, β = 99.54° and γ = 90.00°. The inequivalent atoms are Cd at (0.2486, 0.0000, 0.2484), Tc at (0.0000, 0.0000, 0.5000) and Ru at (0.0000, 0.5000, 0.0000).

The value obtained for the density of states at the Fermi level is 1.21 states/eV/atom.



ii (32 meV per atom below the next structure)